Record 1
Here is a relaxed CeScAg2 crystal from the Alexandria database. Energies are from PBE.

Lattice parameters (Å, degrees): 3.433 3.433 7.677 90.00 90.00 90.00
Space group P4/mmm (No. 123)
Inequivalent atoms, fractional coordinates:
Ce: 0.000 0.000 0.000 x1
Sc: 0.000 0.000 0.500 x1
Ag: 0.500 0.500 0.288 x2

- N(E_F) (states/eV per cell) = 7.89
- energy of formation from the pure elements (eV per atom) = -0.17
- polymorph energy (0 for the lowest one) (meV/atom) = 0
- VASP energy (eV per atom) = -4.6639
- magnetization (μB per formula unit) = 1.18

=====

Record 2
Here is a relaxed Mg2AlSe crystal from the Alexandria database. Energies are from PBE.

Lattice parameters (Å, degrees): 3.5778 3.5778 24.0719 90.00 90.00 120.00
Space group R3m (No. 160, hexagonal axes)
Inequivalent atoms, fractional coordinates:
Mg: 0.0000 0.0000 0.0000 x3
Mg: 0.0000 0.0000 0.2348 x3
Al: 0.0000 0.0000 0.7562 x3
Se: 0.0000 0.0000 0.4888 x3

- N(E_F) (states/eV per cell) = 5.69
- polymorph energy (0 for the lowest one) (meV/atom) = 126
- formation energy from raw total energies (kcal/mol of atoms) = -6.223
- VASP energy (eV per atom) = -2.8739
- magnetization (μB per formula unit) = 0.00

=====

Record 3
Here is a relaxed Si2TcAu crystal from the Alexandria database. Energies are from PBE.

Lattice parameters (Å, degrees): 3.042 4.913 8.426 90.00 90.00 90.00
Space group Cmmm (No. 65)
Inequivalent atoms, fractional coordinates:
Si: 0.000 0.000 0.224 x4
Tc: 0.000 0.500 0.000 x2
Au: 0.000 0.500 0.500 x2

- N(E_F) (states/eV per cell) = 5.38
- polymorph energy (0 for the lowest one) (meV/atom) = 370
- formation energy from raw total energies (kcal/mol of atoms) = 4.754
- VASP energy (eV per atom) = -5.9162
- magnetization (μB per formula unit) = 0.00

=====

Record 4
Here is a relaxed Zr2SbO2 crystal from the Alexandria database. Energies are from PBE.

Lattice parameters (Å, degrees): 7.251 7.251 2.899 90.00 90.00 90.00
Space group P4/mbm (No. 127)
Inequivalent atoms, fractional coordinates:
Zr: 0.149 0.351 0.000 x4
Sb: 0.000 0.000 0.500 x2
O: 0.115 0.615 0.500 x4

- N(E_F) (states/eV per cell) = 4.89
- polymorph energy (0 for the lowest one) (meV/atom) = 487
- formation energy from raw total energies (kcal/mol of atoms) = -32.340
- VASP energy (eV per atom) = -7.6294
- magnetization (μB per formula unit) = 0.00

=====

Record 5
Here is a relaxed Cs4Nd3HoSe8 crystal from the Alexandria database. Energies are from PBE.

Lattice parameters (Å, degrees): 8.7327 8.7327 25.2117 90.00 90.00 120.00
Space group R-3m (No. 166, hexagonal axes)
Inequivalent atoms, fractional coordinates:
Cs: 0.0000 0.0000 0.0000 x3
Cs: 0.0000 0.5000 0.0000 x9
Nd: 0.0000 0.5000 0.5000 x9
Ho: 0.0000 0.0000 0.5000 x3
Se: 0.0000 0.0000 0.2305 x6
Se: 0.0081 0.5040 0.2294 x18

- N(E_F) (states/eV per cell) = 0.00
- formation energy from raw total energies (kcal/mol of atoms) = -39.762
- VASP energy (eV per atom) = -4.8600
- magnetization (μB per formula unit) = 0.00

=====

Record 6
Here is a relaxed Li6NdPd6 crystal from the Alexandria database. Energies are from PBE.

Lattice parameters (Å, degrees): 5.386 8.492 9.272 90.00 90.00 90.00
Space group Immm (No. 71)
Inequivalent atoms, fractional coordinates:
Li: 0.000 0.000 0.142 x4
Li: 0.000 0.345 0.500 x4
Li: 0.000 0.500 0.209 x4
Nd: 0.000 0.000 0.500 x2
Pd: 0.000 0.289 0.000 x4
Pd: 0.250 0.250 0.250 x8

- N(E_F) (states/eV per cell) = 10.68
- energy of formation from the pure elements (eV per atom) = -0.47
- VASP energy (eV per atom) = -4.1121
- magnetization (μB per formula unit) = 0.00

=====

Record 7
Here is a relaxed La2Sm2Dy5 crystal from the Alexandria database. Energies are from PBE.

Lattice parameters (Å, degrees): 21.817 3.512 8.380 90.00 100.51 90.00
Space group C2/m (No. 12)
Inequivalent atoms, fractional coordinates:
La: 0.182 0.000 0.145 x4
Sm: 0.046 0.500 0.357 x4
Dy: 0.000 0.000 0.000 x2
Dy: 0.098 0.000 0.737 x4
Dy: 0.191 0.500 0.530 x4

- N(E_F) (states/eV per cell) = 26.65
- energy of formation from the pure elements (eV per atom) = 0.22
- polymorph energy (0 for the lowest one) (meV/atom) = 21
- VASP energy (eV per atom) = -4.4824
- magnetization (μB per formula unit) = 0.00

=====

Record 8
Here is a relaxed Pm12Dy6Zr crystal from the Alexandria database. Energies are from PBE.

Lattice parameters (Å, degrees): 15.6453 15.6453 8.7898 90.00 90.00 120.00
Space group R-3 (No. 148, hexagonal axes)
Inequivalent atoms, fractional coordinates:
Pm: 0.0355 0.2809 0.3375 x18
Pm: 0.0757 0.5636 0.6662 x18
Dy: 0.0171 0.1360 0.6720 x18
Zr: 0.0000 0.0000 0.0000 x3

- N(E_F) (states/eV per cell) = 70.73
- energy of formation from the pure elements (eV per atom) = 0.04
- VASP energy (eV per atom) = -4.8686
- magnetization (μB per formula unit) = 0.00

=====

Record 9
Here is a relaxed SmDy3Y6Tm2 crystal from the Alexandria database. Energies are from PBE.

Lattice parameters (Å, degrees): 6.158 10.653 11.786 90.00 99.97 90.00
Space group C2/m (No. 12)
Inequivalent atoms, fractional coordinates:
Sm: 0.000 0.000 0.000 x2
Dy: 0.000 0.167 0.500 x4
Dy: 0.000 0.500 0.500 x2
Y: 0.249 0.333 0.750 x8
Y: 0.250 0.000 0.750 x4
Tm: 0.000 0.333 0.000 x4

- N(E_F) (states/eV per cell) = 34.11
- energy of formation from the pure elements (eV per atom) = 0.02
- VASP energy (eV per atom) = -5.4987
- magnetization (μB per formula unit) = 0.00

=====

Record 10
Here is a relaxed AcNdSn crystal from the Alexandria database. Energies are from PBE.

Lattice parameters (Å, degrees): 4.6502 4.6502 6.5803 90.00 90.00 120.00
Space group P3m1 (No. 156)
Inequivalent atoms, fractional coordinates:
Ac: 0.0000 0.0000 0.0000 x1
Nd: 0.6667 0.3333 0.4600 x1
Sn: 0.3333 0.6667 0.6986 x1

- N(E_F) (states/eV per cell) = 3.37
- energy of formation from the pure elements (eV per atom) = -0.21
- polymorph energy (0 for the lowest one) (meV/atom) = 358
- VASP energy (eV per atom) = -4.4987
- magnetization (μB per formula unit) = 1.44

=====

Record 11
Here is a relaxed YMg2W crystal from the Alexandria database. Energies are from PBE.

Lattice parameters (Å, degrees): 3.0824 3.0824 31.5689 90.00 90.00 120.00
Space group R3m (No. 160, hexagonal axes)
Inequivalent atoms, fractional coordinates:
Y: 0.0000 0.0000 0.0000 x3
Mg: 0.0000 0.0000 0.5121 x3
Mg: 0.0000 0.0000 0.7599 x3
W: 0.0000 0.0000 0.2523 x3

- N(E_F) (states/eV per cell) = 13.78
- energy of formation from the pure elements (eV per atom) = 0.47
- polymorph energy (0 for the lowest one) (meV/atom) = 123
- VASP energy (eV per atom) = -5.1833
- magnetization (μB per formula unit) = 0.54

=====

Record 12
Here is a relaxed Ca2Hg2P crystal from the Alexandria database. Energies are from PBE.

Lattice parameters (Å, degrees): 3.958 3.958 17.505 90.00 90.00 90.00
Space group I4/mmm (No. 139)
Inequivalent atoms, fractional coordinates:
Ca: 0.000 0.000 0.086 x4
Hg: 0.000 0.500 0.250 x4
P: 0.000 0.000 0.500 x2

- N(E_F) (states/eV per cell) = 4.17
- energy of formation from the pure elements (eV per atom) = -0.43
- polymorph energy (0 for the lowest one) (meV/atom) = 0
- VASP energy (eV per atom) = -2.4340
- magnetization (μB per formula unit) = 0.00

=====

Record 13
Here is a relaxed SrAg2P2 crystal from the Alexandria database. Energies are from PBE.

Lattice parameters (Å, degrees): 4.330 4.330 10.888 90.00 90.00 90.00
Space group I4/mmm (No. 139)
Inequivalent atoms, fractional coordinates:
Sr: 0.000 0.000 0.000 x2
Ag: 0.000 0.500 0.250 x4
P: 0.000 0.000 0.394 x4

- N(E_F) (states/eV per cell) = 2.79
- energy of formation from the pure elements (eV per atom) = -0.42
- polymorph energy (0 for the lowest one) (meV/atom) = 0
- VASP energy (eV per atom) = -4.0605
- magnetization (μB per formula unit) = 0.00

=====

Record 14
Here is a relaxed MnSbOs crystal from the Alexandria database. Energies are from PBE.

Lattice parameters (Å, degrees): 4.4387 4.4387 3.0394 90.00 90.00 120.00
Space group P-6m2 (No. 187)
Inequivalent atoms, fractional coordinates:
Mn: 0.0000 0.0000 0.0000 x1
Sb: 0.3333 0.6667 0.5000 x1
Os: 0.6667 0.3333 0.5000 x1

- N(E_F) (states/eV per cell) = 1.85
- polymorph energy (0 for the lowest one) (meV/atom) = 205
- formation energy from raw total energies (kcal/mol of atoms) = 9.988
- VASP energy (eV per atom) = -7.7408
- magnetization (μB per formula unit) = 3.35

=====

Record 15
Here is a relaxed RbTh6Te12 crystal from the Alexandria database. Energies are from PBE.

Lattice parameters (Å, degrees): 15.0752 15.0752 10.6271 90.00 90.00 120.00
Space group R-3m (No. 166, hexagonal axes)
Inequivalent atoms, fractional coordinates:
Rb: 0.0000 0.0000 0.0000 x3
Th: 0.0593 0.5297 0.2612 x18
Te: 0.0000 0.3758 0.5000 x18
Te: 0.0873 0.1747 0.3302 x18

- N(E_F) (states/eV per cell) = 27.11
- formation energy from raw total energies (kcal/mol of atoms) = -24.240
- VASP energy (eV per atom) = -5.4294
- magnetization (μB per formula unit) = 0.00

=====

Record 16
Here is a relaxed PmDyBeCo crystal from the Alexandria database. Energies are from PBE.

Lattice parameters (Å, degrees): 6.837 6.837 6.837 90.00 90.00 90.00
Space group F-43m (No. 216)
Inequivalent atoms, fractional coordinates:
Pm: 0.000 0.000 0.000 x4
Dy: 0.000 0.000 0.500 x4
Be: 0.250 0.250 0.750 x4
Co: 0.250 0.250 0.250 x4

- N(E_F) (states/eV per cell) = 11.40
- energy of formation from the pure elements (eV per atom) = 0.04
- VASP energy (eV per atom) = -5.0028
- magnetization (μB per formula unit) = 0.00

=====

Record 17
Here is a relaxed NaTmHgAu crystal from the Alexandria database. Energies are from PBE.

Lattice parameters (Å, degrees): 7.120 7.120 7.120 90.00 90.00 90.00
Space group F-43m (No. 216)
Inequivalent atoms, fractional coordinates:
Na: 0.000 0.000 0.000 x4
Tm: 0.000 0.000 0.500 x4
Hg: 0.250 0.250 0.250 x4
Au: 0.250 0.250 0.750 x4

- N(E_F) (states/eV per cell) = 14.33
- energy of formation from the pure elements (eV per atom) = -0.42
- VASP energy (eV per atom) = -2.7656
- magnetization (μB per formula unit) = 0.00

=====

Record 18
Here is a relaxed Cu3SiPb crystal from the Alexandria database. Energies are from PBE.

Lattice parameters (Å, degrees): 4.892 4.892 4.892 90.00 90.00 90.00
Space group Pm-3m (No. 221)
Inequivalent atoms, fractional coordinates:
Cu: 0.000 0.000 0.500 x3
Si: 0.500 0.500 0.500 x1
Pb: 0.000 0.000 0.000 x1

- N(E_F) (states/eV per cell) = 2.89
- polymorph energy (0 for the lowest one) (meV/atom) = 924
- formation energy from raw total energies (kcal/mol of atoms) = 28.044
- VASP energy (eV per atom) = -3.0679
- magnetization (μB per formula unit) = 0.00

=====

Record 19
Here is a relaxed K4Tb3TiSe8 crystal from the Alexandria database. Energies are from PBE.

Lattice parameters (Å, degrees): 8.2905 8.2905 23.0186 90.00 90.00 120.00
Space group R-3m (No. 166, hexagonal axes)
Inequivalent atoms, fractional coordinates:
K: 0.0000 0.0000 0.0000 x3
K: 0.0000 0.5000 0.0000 x9
Tb: 0.0000 0.5000 0.5000 x9
Ti: 0.0000 0.0000 0.5000 x3
Se: 0.0000 0.0000 0.2362 x6
Se: 0.0182 0.5091 0.2331 x18

- N(E_F) (states/eV per cell) = 17.14
- formation energy from raw total energies (kcal/mol of atoms) = -36.674
- VASP energy (eV per atom) = -4.9686
- magnetization (μB per formula unit) = 1.00

=====

Record 20
Here is a relaxed Y2Al4GaAu3 crystal from the Alexandria database. Energies are from PBE.

Lattice parameters (Å, degrees): 4.291 4.291 10.702 90.00 90.00 90.00
Space group P-4m2 (No. 115)
Inequivalent atoms, fractional coordinates:
Y: 0.000 0.500 0.247 x2
Al: 0.000 0.000 0.500 x1
Al: 0.000 0.500 0.863 x2
Al: 0.500 0.500 0.500 x1
Ga: 0.500 0.500 0.000 x1
Au: 0.000 0.000 0.000 x1
Au: 0.000 0.500 0.634 x2

- N(E_F) (states/eV per cell) = 4.04
- energy of formation from the pure elements (eV per atom) = -0.67
- VASP energy (eV per atom) = -4.7442
- magnetization (μB per formula unit) = 0.00